(1)
Density functional theory data (PBE) for a geometry-optimized LiDy6Tl5 structure.

Summary:
formation energy from the elements = -0.308 eV per atom
calculated total energy = -3.754 eV per atom
space-group type = Cmmm (65)
magnetization = 0.00 μB per formula unit
DOS at the Fermi energy = 10.0 states/eV/f.u.
crystal system = orthorhombic

Unit cell a=5.338 b=7.496 c=8.499 alpha=90.00 beta=71.70 gamma=90.00
Fractional positions:
Dy: 0.500 0.746 0.000
Dy: 0.500 0.254 0.000
Dy: 0.832 0.754 0.337
Dy: 0.168 0.246 0.663
Dy: 0.168 0.754 0.663
Dy: 0.832 0.246 0.337
Tl: 0.667 0.500 0.667
Tl: 0.655 0.000 0.689
Tl: 0.000 0.500 0.000
Tl: 0.345 0.000 0.311
Tl: 0.333 0.500 0.333
Li: 0.000 0.000 0.000



(2)
Density functional theory data (PBE) for a geometry-optimized Li2DyTm2Tl2 structure.

Summary:
formation energy from the elements = -0.162 eV per atom
calculated total energy = -3.320 eV per atom
space-group type = R-3m (166)
magnetization = 0.00 μB per formula unit
DOS at the Fermi energy = 4.7 states/eV/f.u.
crystal system = trigonal

Unit cell a=4.800 b=4.800 c=9.255 alpha=74.97 beta=74.97 gamma=60.00
Fractional positions:
Tl: 0.261 0.261 0.217
Tl: 0.739 0.739 0.783
Dy: 0.000 0.000 0.000
Li: 0.601 0.601 0.198
Li: 0.399 0.399 0.802
Tm: 0.128 0.128 0.617
Tm: 0.872 0.872 0.383



(3)
Density functional theory data (PBE) for a geometry-optimized LiDyTmTl structure.

Summary:
formation energy from the elements = -0.182 eV per atom
calculated total energy = -3.521 eV per atom
space-group type = F-43m (216)
magnetization = 0.00 μB per formula unit
DOS at the Fermi energy = 2.7 states/eV/f.u.
crystal system = cubic

Unit cell a=5.247 b=5.247 c=5.247 alpha=60.00 beta=60.00 gamma=60.00
Fractional positions:
Dy: 0.250 0.250 0.250
Li: 0.000 0.000 0.000
Tm: 0.750 0.750 0.750
Tl: 0.500 0.500 0.500



(4)
Density functional theory data (PBE) for a geometry-optimized LiDy2TmTl4 structure.

Summary:
formation energy from the elements = -0.314 eV per atom
calculated total energy = -3.446 eV per atom
space-group type = R-3m (166)
magnetization = 0.00 μB per formula unit
DOS at the Fermi energy = 4.5 states/eV/f.u.
crystal system = trigonal

Unit cell a=5.220 b=5.220 c=9.279 alpha=73.66 beta=73.66 gamma=60.00
Fractional positions:
Dy: 0.246 0.246 0.263
Dy: 0.754 0.754 0.737
Li: 0.500 0.500 0.500
Tl: 0.377 0.377 0.870
Tl: 0.127 0.127 0.619
Tl: 0.623 0.623 0.130
Tl: 0.873 0.873 0.381
Tm: 0.000 0.000 0.000



(5)
Density functional theory data (PBE) for a geometry-optimized Li2DyYTl4 structure.

Summary:
formation energy from the elements = -0.320 eV per atom
calculated total energy = -3.365 eV per atom
space-group type = R-3m (166)
magnetization = 0.00 μB per formula unit
DOS at the Fermi energy = 1.8 states/eV/f.u.
crystal system = trigonal

Unit cell a=5.194 b=5.194 c=8.964 alpha=73.16 beta=73.16 gamma=60.00
Fractional positions:
Tl: 0.375 0.375 0.876
Tl: 0.875 0.875 0.375
Tl: 0.625 0.625 0.124
Tl: 0.125 0.125 0.625
Dy: 0.000 0.000 0.000
Li: 0.750 0.750 0.750
Li: 0.250 0.250 0.250
Y: 0.500 0.500 0.500



(6)
Density functional theory data (PBE) for a geometry-optimized LiDy2YTl4 structure.

Summary:
formation energy from the elements = -0.335 eV per atom
calculated total energy = -3.716 eV per atom
space-group type = R-3m (166)
magnetization = 0.00 μB per formula unit
DOS at the Fermi energy = 4.5 states/eV/f.u.
crystal system = trigonal

Unit cell a=5.234 b=5.234 c=9.326 alpha=73.70 beta=73.70 gamma=60.00
Fractional positions:
Dy: 0.245 0.245 0.264
Dy: 0.755 0.755 0.736
Tl: 0.623 0.623 0.132
Tl: 0.377 0.377 0.868
Tl: 0.127 0.127 0.618
Tl: 0.873 0.873 0.382
Li: 0.500 0.500 0.500
Y: 0.000 0.000 0.000